# 1
Entry from the Alexandria database: a geometry-optimized Ac5ScHg6 structure (PBE).

Cell: 9.7301 9.7301 5.5798 Å, 106.61 106.61 48.17°
Last column: nearest neighbours and their distance in Å.
Element x y z (fractional)
Ac: 0.0000 0.0000 0.0000  8 Hg 3.37-3.59
Ac: 0.1636 0.1636 0.6634  8 Hg 3.52-3.58, 4 Ac 3.92-3.93
Ac: 0.3270 0.3270 0.3269  8 Hg 3.35-3.63
Ac: 0.6730 0.6730 0.6731  8 Hg 3.35-3.63
Ac: 0.8364 0.8364 0.3366  8 Hg 3.52-3.58, 4 Ac 3.92-3.93
Sc: 0.5000 0.5000 0.0000  8 Hg 3.17-3.28
Hg: 0.1168 0.5758 0.8463  1 Sc 3.17, 5 Ac 3.35-3.53
Hg: 0.2839 0.7161 0.5000  2 Sc 3.28, 6 Ac 3.39-3.59, 1 Hg 3.43
Hg: 0.4242 0.8832 0.1537  1 Sc 3.17, 5 Ac 3.35-3.53
Hg: 0.5758 0.1168 0.8463  1 Sc 3.17, 5 Ac 3.35-3.53
Hg: 0.7161 0.2839 0.5000  2 Sc 3.28, 6 Ac 3.39-3.59, 1 Hg 3.43
Hg: 0.8832 0.4242 0.1537  1 Sc 3.17, 5 Ac 3.35-3.53

---

# 2
Entry from the Alexandria database: a geometry-optimized AcSc4Hg5 structure (PBE).

Cell: 3.5906 3.5906 18.4635 Å, 90.00 90.00 90.00°
Last column: nearest neighbours and their distance in Å.
Element x y z (fractional)
Ac: 0.0000 0.0000 0.0000  8 Hg 3.50, 4 Ac 3.59
Sc: 0.0000 0.0000 0.2200  8 Hg 3.03-3.07
Sc: 0.0000 0.0000 0.4069  8 Hg 3.07
Sc: 0.0000 0.0000 0.5931  8 Hg 3.07
Sc: 0.0000 0.0000 0.7800  8 Hg 3.03-3.07
Hg: 0.5000 0.5000 0.1302  4 Sc 3.03, 1 Hg 3.39
Hg: 0.5000 0.5000 0.3137  8 Sc 3.07, 1 Hg 3.39
Hg: 0.5000 0.5000 0.5000  8 Sc 3.07
Hg: 0.5000 0.5000 0.6863  8 Sc 3.07, 1 Hg 3.39
Hg: 0.5000 0.5000 0.8698  4 Sc 3.03, 1 Hg 3.39

---

| no. | VASP energy (Ry per atom) |
| --- | --- |
| 1 | -0.20687 |
| 2 | -0.25751 |